Record 1
Computed, not measured: a geometry-optimized CsPtPb structure at the GGA-PBE level of DFT.

The space group is F-43m (No. 216) and the conventional cell measures 7.626, 7.626 and 7.626 Å, with angles of 90.00, 90.00 and 90.00 degrees. The inequivalent atoms are Cs at (0.000, 0.000, 0.000), Pt at (0.250, 0.250, 0.250) and Pb at (0.250, 0.250, 0.750).

As for the crystal system: cubic. The energy above the most stable polymorph in this dataset is 1.222 eV per atom. The calculation puts the total moment at 0.00 μB/f.u.

Record 2
Computed, not measured: a geometry-optimized Sr2LiH6Pt structure at the GGA-PBE level of DFT.

The space group is P-1 (No. 2) and the conventional cell measures 5.434, 5.434 and 7.705 Å, with angles of 90.00, 90.00 and 89.99 degrees. The inequivalent atoms are Sr at (0.000, 0.000, 0.250), Sr at (0.500, 0.500, 0.250), Li at (0.000, 0.500, 0.000), Li at (0.500, 0.000, 0.500), H at (0.001, 0.499, 0.260), H at (0.237, 0.743, 0.500), H at (0.242, 0.263, 0.500), H at (0.259, 0.238, 0.000), H at (0.262, 0.759, 0.000), H at (0.499, 0.000, 0.240), Pt at (0.000, 0.500, 0.500) and Pt at (0.500, 0.000, 0.000).

As for the crystal system: triclinic. The energy above the most stable polymorph in this dataset is 0.000 eV per atom. The calculation puts the total moment at 0.00 μB/f.u.

Record 3
Computed, not measured: a geometry-optimized CoHgBOs structure at the GGA-PBE level of DFT.

The space group is F-43m (No. 216) and the conventional cell measures 5.970, 5.970 and 5.970 Å, with angles of 90.00, 90.00 and 90.00 degrees. The inequivalent atoms are Co at (0.000, 0.000, 0.000), Hg at (0.250, 0.250, 0.250), B at (0.250, 0.250, 0.750) and Os at (0.000, 0.000, 0.500).

As for the crystal system: cubic. The energy above the most stable polymorph in this dataset is 0.000 eV per atom. The calculation puts the total moment at 1.10 μB/f.u.

Record 4
Computed, not measured: a geometry-optimized AgBS6 structure at the GGA-PBE level of DFT.

The space group is F-43m (No. 216) and the conventional cell measures 8.311, 8.311 and 8.311 Å, with angles of 90.00, 90.00 and 90.00 degrees. The inequivalent atoms are Ag at (0.000, 0.000, 0.000), B at (0.250, 0.250, 0.750) and S at (0.004, 0.250, 0.750).

The total DFT energy (no corrections) comes out at -3.422 eV per atom. As for the crystal system: cubic.